# TbFeH6

Crystalline TbFeH6 at its relaxed geometry (PBE, Alexandria).

Computed properties:
E	-35.04	eV/cell
density	6.14	Mg/m³

Geometry as extended XYZ:
```
8
Lattice="2.201 1.271 3.556 -2.201 1.271 3.556 0.000 -2.542 3.556" Properties=species:S:1:pos:R:3 pbc="T T T"
Tb 0.000 0.000 0.000
Fe 0.000 0.000 5.333
H -1.169 -0.675 4.544
H 0.000 -1.350 6.123
H -1.169 0.675 6.123
H 1.169 -0.675 4.544
H 0.000 1.350 4.544
H 1.169 0.675 6.123
```